# SrGaCo2F8

SrGaCo2F8 after structural relaxation (PBE+U, Alexandria via LeMat-Bulk).

The space group is P2/m (No. 10) and the conventional cell measures 4.8288, 6.8501 and 5.0006 Å, with angles of 90.00, 90.72 and 90.00 degrees. The inequivalent atoms are Sr at (0.0000, 0.0000, 0.0000), Ga at (0.0000, 0.5000, 0.0000), Co at (0.5000, 0.2615, 0.5000), F at (0.1784, 0.2969, 0.2055), F at (0.2959, 0.5000, 0.7339) and F at (0.3788, 0.0000, 0.7120).

The calculation puts the total energy at -59.81 eV per cell. The density comes out at 4289 kg/m3. The crystal system is monoclinic. The value obtained for the total magnetization is 0.418 μB/atom.